# 1
A crystal of MgZn3 relaxed with PBEsol. Source: Alexandria via LeMat-Bulk, functional meta-GGA SCAN.

## Properties
uncorrected energy = -45.62 eV for the cell shown
SG = Pmm2, No. 25
formation energy = -25 meV/atom
volume = 15.62 A^3/atom
magnetization = 0.00 μB/cell

a = 2.867 Å, b = 4.479 Å, c = 4.866 Å
α = 90.00°, β = 90.00°, γ = 90.00°
Atoms (fractional coordinates):
Mg (0.000, 0.000, 0.000)
Zn (0.000, 0.500, 0.658)
Zn (0.500, 0.000, 0.495)
Zn (0.500, 0.500, 0.178)



# 2
A crystal of LaTa2Mn relaxed with PBEsol. Source: Alexandria via LeMat-Bulk, functional meta-GGA SCAN.

## Properties
uncorrected energy = -193.26 eV for the cell shown
SG = P4mm, No. 99
formation energy = 317 meV/atom
volume = 18.99 A^3/atom
magnetization = 0.00 μB/cell
energy above the most stable polymorph in this dataset = 0.0 meV per atom

a = 3.091 Å, b = 3.091 Å, c = 7.950 Å
α = 90.00°, β = 90.00°, γ = 90.00°
Atoms (fractional coordinates):
La (0.000, 0.000, 0.000)
Ta (0.000, 0.000, 0.433)
Ta (0.500, 0.500, 0.667)
Mn (0.500, 0.500, 0.273)



# 3
A crystal of Y2Ru relaxed with PBEsol. Source: Alexandria via LeMat-Bulk, functional meta-GGA SCAN.

## Properties
uncorrected energy = -183.09 eV for the cell shown
SG = Cmc2_1, No. 36
formation energy = -345 meV/atom
volume = 24.04 A^3/atom
magnetization = 0.00 μB/cell

a = 6.532 Å, b = 6.532 Å, c = 6.598 Å
α = 90.00°, β = 90.00°, γ = 149.18°
Atoms (fractional coordinates):
Y (0.019, 0.981, 0.500)
Y (0.281, 0.719, 0.327)
Y (0.719, 0.281, 0.827)
Y (0.981, 0.019, 0.000)
Ru (0.380, 0.620, 0.708)
Ru (0.620, 0.380, 0.208)



# 4
A crystal of CsZr6CI14 relaxed with PBEsol. Source: Alexandria via LeMat-Bulk, functional meta-GGA SCAN.

## Properties
uncorrected energy = -1542.68 eV for the cell shown
SG = Cmce, No. 64
volume = 32.58 A^3/atom
magnetization = 0.00 μB/cell
formation energy (no corrections) = -1.130 eV/atom

a = 10.608 Å, b = 10.608 Å, c = 12.803 Å
α = 90.00°, β = 90.00°, γ = 84.23°
Atoms (fractional coordinates):
Cs (0.000, 0.000, 0.000)
Cs (0.500, 0.500, 0.500)
Zr (0.041, 0.168, 0.607)
Zr (0.132, 0.868, 0.598)
Zr (0.168, 0.041, 0.393)
Zr (0.332, 0.459, 0.893)
Zr (0.368, 0.632, 0.098)
Zr (0.459, 0.332, 0.107)
Zr (0.541, 0.668, 0.893)
Zr (0.632, 0.368, 0.902)
Zr (0.668, 0.541, 0.107)
Zr (0.832, 0.959, 0.607)
Zr (0.868, 0.132, 0.402)
Zr (0.959, 0.832, 0.393)
C (0.000, 0.000, 0.500)
C (0.500, 0.500, 0.000)
I (0.036, 0.215, 0.249)
I (0.099, 0.401, 0.750)
I (0.116, 0.632, 0.494)
I (0.132, 0.616, 0.994)
I (0.159, 0.841, 0.238)
I (0.215, 0.036, 0.751)
I (0.248, 0.248, 0.000)
I (0.252, 0.252, 0.500)
I (0.285, 0.464, 0.251)
I (0.341, 0.659, 0.738)
I (0.368, 0.884, 0.494)
I (0.384, 0.868, 0.994)
I (0.401, 0.099, 0.250)
I (0.464, 0.285, 0.749)
I (0.536, 0.715, 0.251)
I (0.599, 0.901, 0.750)
I (0.616, 0.132, 0.006)
I (0.632, 0.116, 0.506)
I (0.659, 0.341, 0.262)
I (0.715, 0.536, 0.749)
I (0.748, 0.748, 0.500)
I (0.752, 0.752, 0.000)
I (0.785, 0.964, 0.249)
I (0.841, 0.159, 0.762)
I (0.868, 0.384, 0.006)
I (0.884, 0.368, 0.506)
I (0.901, 0.599, 0.250)
I (0.964, 0.785, 0.751)